YZn2Au: optimized geometry, PBE.

Unit cell a=4.7770 b=4.7713 c=4.7582 alpha=60.17 beta=60.05 gamma=59.78
Sites, in units of the cell vectors:
Y  0.0000  0.0000  0.0000
Zn  0.2500  0.2500  0.2500
Zn  0.5000  0.5000  0.5000
Au  0.7500  0.7500  0.7500

Summary:
Energy relative to the elements ... -0.4710 eV per atom
E_tot ... -14.17 eV/f.u.

HoPuSiRh: optimized geometry, PBE.

Unit cell a=4.9050 b=4.9050 c=4.9050 alpha=60.00 beta=60.00 gamma=60.00
Sites, in units of the cell vectors:
Ho  0.0000  0.0000  0.0000
Pu  0.5000  0.5000  0.5000
Si  0.7500  0.7500  0.7500
Rh  0.2500  0.2500  0.2500

Summary:
Formation energy without anion corrections ... -176 kJ/mol of formula units
E_tot ... -33.51 eV/f.u.

U2WSe: optimized geometry, PBE.

Unit cell a=9.0615 b=9.0615 c=9.0615 alpha=21.09 beta=21.09 gamma=21.09
Sites, in units of the cell vectors:
U  0.2500  0.2500  0.2500
U  0.7500  0.7500  0.7500
W  0.0000  0.0000  0.0000
Se  0.5000  0.5000  0.5000

Summary:
Formation energy without anion corrections ... 55 kJ/mol of formula units
E_tot ... -38.44 eV/f.u.

Total magnetic moment for every record listed, in sequence, given in μB/f.u.: 0.00; 4.79; 3.87.